Material: Sr6AgAu2N
Method: DFT, PBE
State: relaxed

```
Sr6AgAu2N
1.0
7.431 0.000 0.000
0.000 8.170 0.000
-6.782 0.000 10.700
Sr Ag Au N
12 2 4 2
Direct
0.088 0.042 0.227
0.088 0.458 0.727
0.214 0.711 0.067
0.214 0.789 0.567
0.351 0.161 0.057
0.351 0.339 0.557
0.649 0.661 0.443
0.649 0.839 0.943
0.786 0.211 0.433
0.786 0.289 0.933
0.912 0.542 0.273
0.912 0.958 0.773
0.500 0.000 0.500
0.500 0.500 0.000
0.306 0.105 0.761
0.306 0.395 0.261
0.694 0.605 0.739
0.694 0.895 0.239
0.000 0.000 0.000
0.000 0.500 0.500
```

Material: Rb2Tm3NpO8
Method: DFT, PBE
State: relaxed

```
Rb2Tm3NpO8
1.0
3.491 2.015 6.066
-3.491 2.015 6.066
0.000 -4.031 6.066
Rb Tm Np O
2 3 1 8
Direct
0.000 0.000 0.000
0.376 0.376 0.376
0.011 0.011 0.476
0.011 0.476 0.011
0.476 0.011 0.011
0.628 0.628 0.628
0.229 0.229 0.229
0.256 0.256 0.821
0.256 0.821 0.256
0.283 0.729 0.729
0.729 0.283 0.729
0.729 0.729 0.283
0.764 0.764 0.764
0.821 0.256 0.256
```

Material: RbTlFe2Cl8
Method: DFT, PBE
State: relaxed

```
RbTlFe2Cl8
1.0
5.467 -3.771 0.000
5.467 3.771 0.000
-0.381 0.000 10.658
Rb Tl Fe Cl
1 1 2 8
Direct
0.000 0.000 0.000
0.000 0.000 0.500
0.406 0.406 0.745
0.594 0.594 0.255
0.235 0.716 0.256
0.284 0.765 0.744
0.293 0.293 0.570
0.304 0.304 0.919
0.696 0.696 0.081
0.707 0.707 0.430
0.716 0.235 0.256
0.765 0.284 0.744
```

Results for E_form (uncorrected): -5.0 -37.2 -12.8 (in eV per formula unit, following the order of the records).